The following is a DFT calculation (PBE-GGA) of Dy9Y2Tm3 after structural relaxation.

Properties
Energy of formation, kJ per mole of atoms: 8

Geometry as POSCAR:
```
Dy9Y2Tm3
1.0
6.339 0.000 0.000
-2.165 8.464 0.000
-2.390 -3.215 8.276
Dy Y Tm
9 2 3
direct
0.000 0.000 0.000
0.008 0.508 0.408
0.136 0.930 0.649
0.180 0.454 0.076
0.326 0.387 0.733
0.558 0.731 0.610
0.594 0.231 0.032
0.763 0.660 0.134
0.904 0.568 0.769
0.328 0.877 0.323
0.451 0.304 0.380
0.423 0.821 0.963
0.733 0.155 0.698
0.877 0.089 0.350
```

***

The following is a DFT calculation (PBE-GGA) of MgVAgCl6 after structural relaxation.

Properties
Formation energy without anion corrections, eV/atom: -1.24

Geometry as POSCAR:
```
MgVAgCl6
1.0
6.323 0.000 0.000
-3.161 5.476 0.000
0.000 0.000 12.016
Mg V Ag Cl
2 2 2 12
direct
0.333 0.667 0.250
0.667 0.333 0.750
0.333 0.667 0.750
0.667 0.333 0.250
0.000 0.000 0.000
0.000 0.000 0.500
0.014 0.367 0.635
0.014 0.647 0.865
0.353 0.367 0.865
0.353 0.986 0.635
0.367 0.014 0.135
0.367 0.353 0.365
0.633 0.647 0.635
0.633 0.986 0.865
0.647 0.014 0.365
0.647 0.633 0.135
0.986 0.353 0.135
0.986 0.633 0.365
```

***

The following is a DFT calculation (PBE-GGA) of BeTeAs2 after structural relaxation.

Properties
Formation energy without anion corrections, eV/atom: 0.20
E above lowest polymorph, kJ/mol of atoms: 14.5

Geometry as POSCAR:
```
BeTeAs2
1.0
11.681 0.000 0.000
0.000 3.471 0.000
-1.458 0.000 4.132
Be Te As
2 2 4
direct
0.000 0.000 0.000
0.500 0.500 0.000
0.320 0.000 0.650
0.820 0.500 0.650
0.140 0.500 0.940
0.498 0.000 0.348
0.640 0.000 0.940
0.998 0.500 0.348
```

***

The following is a DFT calculation (PBE-GGA) of La2DyYEr2 after structural relaxation.

Properties
Energy of formation, kJ per mole of atoms: 7

Geometry as POSCAR:
```
La2DyYEr2
1.0
7.093 0.000 0.000
0.000 5.687 0.000
0.000 0.000 9.864
La Dy Y Er
4 2 2 4
direct
0.000 0.000 0.000
0.250 0.500 0.176
0.500 0.000 0.000
0.750 0.500 0.824
0.250 0.000 0.660
0.750 0.000 0.340
0.000 0.500 0.500
0.500 0.500 0.500
0.250 0.000 0.335
0.250 0.500 0.833
0.750 0.000 0.665
0.750 0.500 0.167
```